Entry 1:
## HoTmZr2Sb2 (GGA-PBE)

Data for crystalline HoTmZr2Sb2 at its relaxed geometry.

Cell: 4.264 4.264 16.495 Å, 90.00 90.00 90.00°
Space group I4mm (No. 107)
Inequivalent atoms, fractional coordinates:
Ho 0.000 0.000 0.000 (multiplicity 2)
Tm 0.000 0.000 0.352 (multiplicity 2)
Zr 0.000 0.500 0.177 (multiplicity 4)
Sb 0.000 0.000 0.542 (multiplicity 2)
Sb 0.000 0.000 0.811 (multiplicity 2)

=====

Entry 2:
## Y3HoSb4 (GGA-PBE)

Data for crystalline Y3HoSb4 at its relaxed geometry.

Cell: 6.197 6.197 6.197 Å, 90.00 90.00 90.00°
Space group Pm-3m (No. 221)
Inequivalent atoms, fractional coordinates:
Y 0.000 0.000 0.500 (multiplicity 3)
Ho 0.500 0.500 0.500 (multiplicity 1)
Sb 0.000 0.000 0.000 (multiplicity 1)
Sb 0.000 0.500 0.500 (multiplicity 3)

=====

Number 1: magnetic moment 0.2 Bohr magnetons per cell, energy -6.511 eV/atom, volume 25.0 A^3/atom. Number 2: magnetic moment 0.0 Bohr magnetons per cell, energy -6.209 eV/atom, volume 29.8 A^3/atom.